Entry from the Alexandria database: an optimized crystal structure of CaPm2Ru (PBE).

Cell lengths 7.4399, 9.5558, 6.5181 Å; angles 90.00, 90.00, 90.00 degrees
Element x y z (fractional)
Ca 0.0439 0.2500 0.1359
Ca 0.4561 0.7500 0.6359
Ca 0.5439 0.2500 0.3641
Ca 0.9561 0.7500 0.8641
Pm 0.1737 0.0659 0.6708
Pm 0.1737 0.4341 0.6708
Pm 0.3263 0.5659 0.1708
Pm 0.3263 0.9341 0.1708
Pm 0.6737 0.0659 0.8292
Pm 0.6737 0.4341 0.8292
Pm 0.8263 0.5659 0.3292
Pm 0.8263 0.9341 0.3292
Ru 0.0981 0.7500 0.4307
Ru 0.4019 0.2500 0.9307
Ru 0.5981 0.7500 0.0693
Ru 0.9019 0.2500 0.5693

Summary:
SG = Pnma
energy above the lowest structure with this stoichiometry = 0.0 meV per atom
DOS at the Fermi energy = 13.01 states/eV/cell
calculated formation energy = -139 meV per atom
crystal system = orthorhombic

Entry from the Alexandria database: an optimized crystal structure of BaAgBi2 (PBE).

Cell lengths 10.6555, 10.6555, 10.6555 Å; angles 149.16, 149.16, 44.18 degrees
Element x y z (fractional)
Ba 0.0000 0.0000 0.0000
Ba 0.7500 0.2500 0.5000
Ag 0.2500 0.7500 0.5000
Ag 0.5000 0.5000 0.0000
Bi 0.2515 0.6250 0.1265
Bi 0.3750 0.5015 0.6265
Bi 0.4985 0.1250 0.8735
Bi 0.8750 0.7485 0.3735

Summary:
SG = I-42d
DOS at the Fermi energy = 2.39 states/eV/cell
calculated formation energy = -292 meV per atom
crystal system = tetragonal

Entry from the Alexandria database: an optimized crystal structure of CsHfMgOs2 (PBE).

Cell lengths 4.8550, 4.8550, 5.1091 Å; angles 90.00, 90.00, 90.00 degrees
Element x y z (fractional)
Cs 0.0000 0.0000 0.0000
Hf 0.5000 0.5000 0.0000
Mg 0.5000 0.5000 0.5000
Os 0.0000 0.5000 0.5000
Os 0.5000 0.0000 0.5000

Summary:
SG = P4/mmm
DOS at the Fermi energy = 5.79 states/eV/cell
calculated formation energy = 2195 meV per atom
crystal system = tetragonal

Entry from the Alexandria database: an optimized crystal structure of LiSnTe2 (PBE).

Cell lengths 10.7502, 10.7502, 10.7502 Å; angles 18.43, 18.43, 18.43 degrees
Element x y z (fractional)
Li 0.0000 0.0000 0.0000
Sn 0.5000 0.5000 0.5000
Te 0.3995 0.3995 0.3995
Te 0.6005 0.6005 0.6005

Summary:
E_form (uncorrected) = -0.93 eV per formula unit
SG = R-3m
DOS at the Fermi energy = 2.14 states/eV/cell
crystal system = trigonal

Entry from the Alexandria database: an optimized crystal structure of Se2SN2 (PBE).

Cell lengths 5.1136, 5.1136, 3.2474 Å; angles 90.00, 90.00, 90.00 degrees
Element x y z (fractional)
Se 0.0000 0.5000 0.0000
Se 0.5000 0.0000 0.0000
S 0.0000 0.0000 0.0000
N 0.0000 0.0000 0.5000
N 0.5000 0.5000 0.5000

Summary:
E_form (uncorrected) = 9.98 eV per formula unit
SG = P4/mmm
energy above the lowest structure with this stoichiometry = 570.2 meV per atom
DOS at the Fermi energy = 4.03 states/eV/cell
crystal system = tetragonal

Entry from the Alexandria database: an optimized crystal structure of KCdHg2 (PBE).

Cell lengths 8.7911, 8.7911, 8.7911 Å; angles 28.47, 28.47, 28.47 degrees
Element x y z (fractional)
K 0.0000 0.0000 0.0000
Cd 0.1670 0.1670 0.1670
Hg 0.5706 0.5706 0.5706
Hg 0.7630 0.7630 0.7630

Summary:
SG = R3m
DOS at the Fermi energy = 1.75 states/eV/cell
calculated formation energy = -111 meV per atom
crystal system = trigonal

Entry from the Alexandria database: an optimized crystal structure of Tb3YPu3S8 (PBE).

Cell lengths 7.8791, 7.8791, 7.8791 Å; angles 60.00, 60.00, 60.00 degrees
Element x y z (fractional)
Tb 0.0000 0.5000 0.5000
Tb 0.5000 0.0000 0.5000
Tb 0.5000 0.5000 0.0000
Y 0.0000 0.0000 0.0000
Pu 0.0000 0.0000 0.5000
Pu 0.0000 0.5000 0.0000
Pu 0.5000 0.0000 0.0000
S 0.2483 0.2483 0.7497
S 0.2483 0.7497 0.2483
S 0.2502 0.2502 0.2502
S 0.2503 0.7517 0.7517
S 0.7497 0.2483 0.2483
S 0.7498 0.7498 0.7498
S 0.7517 0.2503 0.7517
S 0.7517 0.7517 0.2503

Summary:
E_form (uncorrected) = -29.22 eV per formula unit
SG = R-3m
DOS at the Fermi energy = 28.82 states/eV/cell
crystal system = trigonal

Entry from the Alexandria database: an optimized crystal structure of V2GeH (PBE).

Cell lengths 6.0029, 3.2929, 8.9274 Å; angles 90.00, 90.00, 90.00 degrees
Element x y z (fractional)
V 0.1146 0.2500 0.2434
V 0.1605 0.2500 0.5830
V 0.3395 0.7500 0.0830
V 0.3854 0.7500 0.7434
V 0.6146 0.2500 0.2566
V 0.6605 0.2500 0.9170
V 0.8395 0.7500 0.4170
V 0.8854 0.7500 0.7566
Ge 0.1386 0.2500 0.8936
Ge 0.3614 0.7500 0.3936
Ge 0.6386 0.2500 0.6064
Ge 0.8614 0.7500 0.1064
H 0.0235 0.7500 0.5823
H 0.4765 0.2500 0.0823
H 0.5235 0.7500 0.9177
H 0.9765 0.2500 0.4177

Summary:
SG = Pnma
energy above the lowest structure with this stoichiometry = 0.0 meV per atom
DOS at the Fermi energy = 8.26 states/eV/cell
crystal system = orthorhombic